# SiBiB3 | Alexandria | PBE | optimized geometry
# * energy relative to the lowest polymorph listed for this composition: 0.000 eV/f.u.
# * density: 6300 kg/m3
# * electronic total energy: -4.445 eV/atom
# * energy relative to the elements, uncorrected: 686 kJ/mol of formula units
data_SiBiB3
_symmetry_space_group_name_H-M 'P m -3 m'
_symmetry_Int_Tables_number 221
_symmetry_space_group_name_Hall '-P 4 2 3'
_cell_length_a 4.141
_cell_length_b 4.141
_cell_length_c 4.141
_cell_angle_alpha 90.00
_cell_angle_beta 90.00
_cell_angle_gamma 90.00
loop_
_atom_site_label
_atom_site_type_symbol
_atom_site_fract_x
_atom_site_fract_y
_atom_site_fract_z
Si1 Si 0.000 0.000 0.000
Bi1 Bi 0.500 0.500 0.500
B1 B 0.000 0.000 0.500

# CsNa2H2 | Alexandria | PBE | optimized geometry
# * density: 2258 kg/m3
# * electronic total energy: -2.082 eV/atom
data_CsNa2H2
_symmetry_space_group_name_H-M 'I 4/m m m'
_symmetry_Int_Tables_number 139
_symmetry_space_group_name_Hall '-I 4 2'
_cell_length_a 4.553
_cell_length_b 4.553
_cell_length_c 12.835
_cell_angle_alpha 90.00
_cell_angle_beta 90.00
_cell_angle_gamma 90.00
loop_
_atom_site_label
_atom_site_type_symbol
_atom_site_fract_x
_atom_site_fract_y
_atom_site_fract_z
Cs1 Cs 0.000 0.000 0.000
Na1 Na 0.000 0.000 0.296
H1 H 0.000 0.500 0.250

# AcTm2Np | Alexandria | PBE | optimized geometry
# * density: 10401 kg/m3
# * electronic total energy: -6.043 eV/atom
# * formation energy from the elements: 455 meV per atom
data_AcTm2Np
_symmetry_space_group_name_H-M 'R -3 m'
_symmetry_Int_Tables_number 166
_symmetry_space_group_name_Hall '-R 3 2"'
_cell_length_a 3.4549
_cell_length_b 3.4549
_cell_length_c 37.1538
_cell_angle_alpha 90.00
_cell_angle_beta 90.00
_cell_angle_gamma 120.00
loop_
_atom_site_label
_atom_site_type_symbol
_atom_site_fract_x
_atom_site_fract_y
_atom_site_fract_z
Ac1 Ac 0.0000 0.0000 0.0000
Tm1 Tm 0.0000 0.0000 0.0942
Np1 Np 0.0000 0.0000 0.5000

# SmScAg | Alexandria | PBE | optimized geometry
# * energy relative to the lowest polymorph listed for this composition: 0.335 eV/f.u.
# * density: 6562 kg/m3
# * electronic total energy: -4.670 eV/atom
# * formation energy from the elements: -36 meV per atom
data_SmScAg
_symmetry_space_group_name_H-M 'P 3 m 1'
_symmetry_Int_Tables_number 156
_cell_length_a 4.9059
_cell_length_b 4.9059
_cell_length_c 3.6809
_cell_angle_alpha 90.00
_cell_angle_beta 90.00
_cell_angle_gamma 120.00
loop_
_symmetry_equiv_pos_as_xyz
'x,y,z'
'-y,x-y,z'
'-x+y,-x,z'
'-y,-x,z'
'-x+y,y,z'
'x,x-y,z'
loop_
_atom_site_label
_atom_site_type_symbol
_atom_site_fract_x
_atom_site_fract_y
_atom_site_fract_z
Sm1 Sm 0.0000 0.0000 0.0000
Sc1 Sc 0.3333 0.6667 0.4916
Ag1 Ag 0.6667 0.3333 0.5344

# NaSiP3 | Alexandria | PBE | optimized geometry
# * energy relative to the lowest polymorph listed for this composition: 5.982 eV/f.u.
# * density: 2163 kg/m3
# * electronic total energy: -2.925 eV/atom
# * energy relative to the elements, uncorrected: 805 kJ/mol of formula units
data_NaSiP3
_symmetry_space_group_name_H-M 'P m -3 m'
_symmetry_Int_Tables_number 221
_symmetry_space_group_name_Hall '-P 4 2 3'
_cell_length_a 4.799
_cell_length_b 4.799
_cell_length_c 4.799
_cell_angle_alpha 90.00
_cell_angle_beta 90.00
_cell_angle_gamma 90.00
loop_
_atom_site_label
_atom_site_type_symbol
_atom_site_fract_x
_atom_site_fract_y
_atom_site_fract_z
Na1 Na 0.000 0.000 0.000
Si1 Si 0.500 0.500 0.500
P1 P 0.000 0.000 0.500

# LiDy2TmS4 | Alexandria | PBE | optimized geometry
# * density: 6432 kg/m3
# * electronic total energy: -5.942 eV/atom
# * energy relative to the elements, uncorrected: -1490 kJ/mol of formula units
data_LiDy2TmS4
_symmetry_space_group_name_H-M 'P 1 2/m 1'
_symmetry_Int_Tables_number 10
_cell_length_a 6.677
_cell_length_b 3.857
_cell_length_c 6.686
_cell_angle_alpha 90.00
_cell_angle_beta 109.37
_cell_angle_gamma 90.00
loop_
_symmetry_equiv_pos_as_xyz
'x,y,z'
'-x,-y,-z'
'-x,y,-z'
'x,-y,z'
loop_
_atom_site_label
_atom_site_type_symbol
_atom_site_fract_x
_atom_site_fract_y
_atom_site_fract_z
Li1 Li 0.000 0.000 0.000
Dy1 Dy 0.000 0.500 0.500
Dy2 Dy 0.500 0.000 0.500
Tm1 Tm 0.500 0.500 0.000
S1 S 0.245 0.500 0.242
S2 S 0.249 0.000 0.759

# AlCu3 | Alexandria | PBE | optimized geometry
# * density: 7080 kg/m3
# * electronic total energy: -4.075 eV/atom
# * formation energy from the elements: -67 meV per atom
data_AlCu3
_symmetry_space_group_name_H-M 'P -6 m 2'
_symmetry_Int_Tables_number 187
_symmetry_space_group_name_Hall 'P -6 2'
_cell_length_a 2.6759
_cell_length_b 2.6759
_cell_length_c 8.2309
_cell_angle_alpha 90.00
_cell_angle_beta 90.00
_cell_angle_gamma 120.00
loop_
_atom_site_label
_atom_site_type_symbol
_atom_site_fract_x
_atom_site_fract_y
_atom_site_fract_z
Al1 Al 0.0000 0.0000 0.0000
Cu1 Cu 0.0000 0.0000 0.5000
Cu2 Cu 0.6667 0.3333 0.2505

# NaZr2InSi | Alexandria | PBE | optimized geometry
# * density: 4390 kg/m3
# * electronic total energy: -4.941 eV/atom
# * energy relative to the elements, uncorrected: 180 kJ/mol of formula units
data_NaZr2InSi
_symmetry_space_group_name_H-M 'P 4/m m m'
_symmetry_Int_Tables_number 123
_symmetry_space_group_name_Hall '-P 4 2'
_cell_length_a 5.083
_cell_length_b 5.083
_cell_length_c 5.100
_cell_angle_alpha 90.00
_cell_angle_beta 90.00
_cell_angle_gamma 90.00
loop_
_atom_site_label
_atom_site_type_symbol
_atom_site_fract_x
_atom_site_fract_y
_atom_site_fract_z
Na1 Na 0.000 0.000 0.000
Zr1 Zr 0.000 0.500 0.500
In1 In 0.500 0.500 0.000
Si1 Si 0.500 0.500 0.500

Number 1: calculated volume 71 Å³/cell. Number 2: calculated volume 266 Å³/cell. Number 3: calculated volume 384 Å³/cell. Number 4: calculated volume 77 Å³/cell. Number 5: calculated volume 111 Å³/cell. Number 6: calculated volume 162 Å³/cell. Number 7: calculated volume 51 Å³/cell. Number 8: calculated volume 132 Å³/cell.